Material: ErAuSe2
Method: DFT, PBE
State: relaxed

a = 4.2489 Å, b = 4.2489 Å, c = 23.3493 Å
α = 90.00°, β = 90.00°, γ = 60.00°
Atoms (fractional coordinates):
Er 0.0000 0.6709 0.5000
Er 0.6709 0.3291 0.8333
Er 0.3291 0.0000 0.1667
Au 0.6646 0.3354 0.3333
Au 0.3354 0.0000 0.6667
Au 0.0000 0.6646 0.0000
Se 0.0043 0.6624 0.8959
Se 0.9957 0.6667 0.1041
Se 0.3376 0.9957 0.7708
Se 0.3333 0.0043 0.5626
Se 0.6667 0.3375 0.4374
Se 0.6624 0.3333 0.2292

E_form (uncorrected) = -1127.2 meV/atom

Material: Ac2AgBPt6
Method: DFT, PBE
State: relaxed

a = 5.7728 Å, b = 7.7448 Å, c = 7.7451 Å
α = 43.77°, β = 68.11°, γ = 90.00°
Atoms (fractional coordinates):
Ac 0.2829 0.7173 0.4345
Ac 0.7171 0.2827 0.5655
Pt 0.7318 0.2685 0.0535
Pt 0.2152 0.2684 0.0533
Pt 0.2682 0.7315 0.9465
Pt 0.2682 0.2148 0.4633
Pt 0.7318 0.7852 0.5367
Pt 0.7848 0.7316 0.9467
Ag 0.0000 0.0000 0.0000
B 0.5000 0.5000 0.0000

ΔE_f = -752 meV per atom

Number 1 is which compound?
ErAuSe2

Copy entry 1 word for word.
Material: ErAuSe2
Method: DFT, PBE
State: relaxed

a = 4.2489 Å, b = 4.2489 Å, c = 23.3493 Å
α = 90.00°, β = 90.00°, γ = 60.00°
Atoms (fractional coordinates):
Er 0.0000 0.6709 0.5000
Er 0.6709 0.3291 0.8333
Er 0.3291 0.0000 0.1667
Au 0.6646 0.3354 0.3333
Au 0.3354 0.0000 0.6667
Au 0.0000 0.6646 0.0000
Se 0.0043 0.6624 0.8959
Se 0.9957 0.6667 0.1041
Se 0.3376 0.9957 0.7708
Se 0.3333 0.0043 0.5626
Se 0.6667 0.3375 0.4374
Se 0.6624 0.3333 0.2292

E_form (uncorrected) = -1127.2 meV/atom